DFT (PBE) results for a relaxed structure of Fe3Pt5.

Electronic total energy   -7.144 eV/atom
Formation enthalpy at 0 K   -0.1953 eV/atom

a = 7.0985 Å, b = 7.0985 Å, c = 5.2303 Å
α = 109.69°, β = 109.69°, γ = 84.66°
Sites, in units of the cell vectors:
Fe 0.0320 0.9680 0.7500
Fe 0.1737 0.5812 0.4939
Fe 0.4188 0.8263 0.0061
Fe 0.5812 0.1737 0.9939
Fe 0.8263 0.4188 0.5061
Fe 0.9680 0.0320 0.2500
Pt 0.0827 0.6738 0.9786
Pt 0.1923 0.2905 0.7306
Pt 0.2905 0.1923 0.2306
Pt 0.3262 0.9173 0.5214
Pt 0.4604 0.5396 0.2500
Pt 0.5396 0.4604 0.7500
Pt 0.6738 0.0827 0.4786
Pt 0.7095 0.8077 0.7694
Pt 0.8077 0.7095 0.2694
Pt 0.9173 0.3262 0.0214